1:
## Ba2NbCr (PBE)

Data for crystalline Ba2NbCr at its relaxed geometry.

The structure belongs to space group I-42d (No. 122); the cell edges are 12.524, 12.524 and 4.420 Å and the angles 90.00°, 90.00° and 90.00°. The inequivalent atoms are Ba at (0.063, 0.250, 0.125), Nb at (0.000, 0.000, 0.500) and Cr at (0.000, 0.000, 0.000).

The calculation puts the magnetization at 0.00 μB/f.u. The value obtained for the density of states at the Fermi level is 1.1617 states/eV per atom. As for the volume: 43.3 A^3/atom.

---

2:
## Ba2NbCr (PBE)

Data for crystalline Ba2NbCr at its relaxed geometry.

The structure belongs to space group Fm-3m (No. 225); the cell edges are 7.608, 7.608 and 7.608 Å and the angles 90.00°, 90.00° and 90.00°. The inequivalent atoms are Ba at (0.250, 0.250, 0.250), Nb at (0.000, 0.000, 0.000) and Cr at (0.000, 0.000, 0.500).

The calculation puts the magnetization at 0.00 μB/f.u. The value obtained for the density of states at the Fermi level is 2.5933 states/eV per atom. As for the volume: 27.5 A^3/atom.

---

Of them, the most stable is 1 and the least stable is 2.

---

1:
## Ba2Nb2Cr (PBE)

Data for crystalline Ba2Nb2Cr at its relaxed geometry.

The structure belongs to space group P4/mbm (No. 127); the cell edges are 6.538, 6.538 and 6.111 Å and the angles 90.00°, 90.00° and 90.00°. The inequivalent atoms are Ba at (0.184, 0.316, 0.000), Nb at (0.157, 0.657, 0.500) and Cr at (0.000, 0.000, 0.500).

The calculation puts the magnetization at 0.01 μB/f.u. The value obtained for the density of states at the Fermi level is 1.0541 states/eV per atom. As for the volume: 26.1 A^3/atom.

---

2:
## Ba2Nb2Cr (PBE)

Data for crystalline Ba2Nb2Cr at its relaxed geometry.

The structure belongs to space group I4/mmm (No. 139); the cell edges are 4.228, 4.228 and 15.728 Å and the angles 90.00°, 90.00° and 90.00°. The inequivalent atoms are Ba at (0.000, 0.500, 0.250), Nb at (0.000, 0.000, 0.070) and Cr at (0.000, 0.000, 0.500).

The calculation puts the magnetization at 0.01 μB/f.u. The value obtained for the density of states at the Fermi level is 1.7320 states/eV per atom. As for the volume: 28.1 A^3/atom.

---

Of them, the most stable is 1 and the least stable is 2.

---

1:
## BaNb3Cr (PBE)

Data for crystalline BaNb3Cr at its relaxed geometry.

The structure belongs to space group Pm-3m (No. 221); the cell edges are 4.871, 4.871 and 4.871 Å and the angles 90.00°, 90.00° and 90.00°. The inequivalent atoms are Ba at (0.000, 0.000, 0.000), Nb at (0.000, 0.500, 0.500) and Cr at (0.500, 0.500, 0.500).

The calculation puts the magnetization at 0.00 μB/f.u. The value obtained for the density of states at the Fermi level is 1.3139 states/eV per atom. As for the volume: 23.1 A^3/atom.

---

2:
## BaNb3Cr (PBE)

Data for crystalline BaNb3Cr at its relaxed geometry.

The structure belongs to space group Pm-3m (No. 221); the cell edges are 5.020, 5.020 and 5.020 Å and the angles 90.00°, 90.00° and 90.00°. The inequivalent atoms are Ba at (0.000, 0.000, 0.000), Nb at (0.000, 0.000, 0.500) and Cr at (0.500, 0.500, 0.500).

The calculation puts the magnetization at 0.45 μB/f.u. The value obtained for the density of states at the Fermi level is 1.5951 states/eV per atom. As for the volume: 25.3 A^3/atom.

---

Of them, the most stable is 1 and the least stable is 2.

---

1:
## BaNb2Cr (PBE)

Data for crystalline BaNb2Cr at its relaxed geometry.

The structure belongs to space group Fd-3m (No. 227, origin choice 2); the cell edges are 10.177, 10.177 and 10.177 Å and the angles 90.00°, 90.00° and 90.00°. The inequivalent atoms are Ba at (0.125, 0.125, 0.125), Nb at (0.000, 0.000, 0.500) and Cr at (0.125, 0.125, 0.625).

The calculation puts the magnetization at 0.00 μB/f.u. The value obtained for the density of states at the Fermi level is 0.0000 states/eV per atom. As for the volume: 32.9 A^3/atom.

---

2:
## BaNb2Cr (PBE)

Data for crystalline BaNb2Cr at its relaxed geometry.

The structure belongs to space group Fm-3m (No. 225); the cell edges are 6.826, 6.826 and 6.826 Å and the angles 90.00°, 90.00° and 90.00°. The inequivalent atoms are Ba at (0.000, 0.000, 0.000), Nb at (0.250, 0.250, 0.250) and Cr at (0.000, 0.000, 0.500).

The calculation puts the magnetization at 0.00 μB/f.u. The value obtained for the density of states at the Fermi level is 2.4789 states/eV per atom. As for the volume: 19.9 A^3/atom.

---

Of them, the most stable is 2 and the least stable is 1.